This record from Alexandria via LeMat-Bulk describes Pr13Dy2 after structural relaxation. The functional is PBE.

Lattice parameters (Å, degrees): 7.2839 7.2839 12.6223 73.23 73.23 60.00
Last column: nearest neighbours and their distance in Å.
Sites, in units of the cell vectors:
Pr1 0.5000 0.5000 0.5000  12 Pr 3.98
Pr2 0.7060 0.2115 0.8709  8 Pr 3.51-3.74, 3 Dy 3.60-3.64
Pr3 0.2115 0.2115 0.8709  8 Pr 3.51-3.74, 3 Dy 3.60-3.64
Pr4 0.2115 0.7060 0.8709  8 Pr 3.51-3.74, 3 Dy 3.60-3.64
Pr5 0.7885 0.2940 0.1291  8 Pr 3.51-3.74, 3 Dy 3.60-3.64
Pr6 0.2940 0.7885 0.1291  8 Pr 3.51-3.74, 3 Dy 3.60-3.64
Pr7 0.7885 0.7885 0.1291  8 Pr 3.51-3.74, 3 Dy 3.60-3.64
Pr8 0.5424 0.0466 0.3643  5 Pr 3.23-3.61, 1 Dy 3.59
Pr9 0.0466 0.0466 0.3643  5 Pr 3.23-3.61, 1 Dy 3.59
Pr10 0.0466 0.5424 0.3643  5 Pr 3.23-3.61, 1 Dy 3.59
Pr11 0.9534 0.4576 0.6357  5 Pr 3.23-3.61, 1 Dy 3.59
Pr12 0.4576 0.9534 0.6357  5 Pr 3.23-3.61, 1 Dy 3.59
Pr13 0.9534 0.9534 0.6357  5 Pr 3.23-3.61, 1 Dy 3.59
Dy1 0.2939 0.2939 0.1183  12 Pr 3.59-3.64
Dy2 0.7061 0.7061 0.8817  12 Pr 3.59-3.64

mass density = 6.5 g/cm³
ΔE to the lowest computed polymorph = 83 meV/atom
calculated formation energy = 136 meV/atom
final energy = -4.62 eV/atom
space-group type = R-3m (166)
crystal system = trigonal